VASP calculation (PBE) on crystalline Mg2TaCoPb at its relaxed geometry.

Energy, eV per atom: -4.763
Total moment, μB/f.u.: 0.0
Space-group type: P4/mmm
DFT formation energy, meV per atom: 408

Lattice parameters (Å, degrees): 4.798 4.798 4.611 90.00 90.00 90.00
Fractional positions:
Mg  0.000  0.500  0.000
Mg  0.500  0.000  0.000
Ta  0.000  0.000  0.500
Co  0.000  0.000  0.000
Pb  0.500  0.500  0.500